No. 1
Entry from the Alexandria database: a geometry-optimized ZnMoPd3 structure (PBE-GGA).

## Properties
Energy of formation from the pure elements (eV/atom): 1.12
Crystal system: cubic
V (Å³ per atom): 22.215

Lattice parameters (Å, degrees): 4.807 4.807 4.807 90.00 90.00 90.00
Space group Pm-3m (No. 221)
One atom of each set of equivalent atoms:
Zn1 0.000 0.000 0.000 (multiplicity 1)
Mo1 0.500 0.500 0.500 (multiplicity 1)
Pd1 0.000 0.500 0.500 (multiplicity 3)


No. 2
Entry from the Alexandria database: a geometry-optimized ZnMoPd3 structure (PBE-GGA).

## Properties
Energy of formation from the pure elements (eV/atom): 0.83
Crystal system: cubic
V (Å³ per atom): 19.130

Lattice parameters (Å, degrees): 4.573 4.573 4.573 90.00 90.00 90.00
Space group Pm-3m (No. 221)
One atom of each set of equivalent atoms:
Zn1 0.000 0.000 0.000 (multiplicity 1)
Mo1 0.500 0.500 0.500 (multiplicity 1)
Pd1 0.000 0.000 0.500 (multiplicity 3)


Distance to the lowest polymorph of the same formula in eV per formula unit, matching the order above: 1.44, 0.00